Tm4AgIr2Rh | GGA-PBE | optimized geometry

The magnetic moment is 0.00 μB per cell. Its formation energy from the elements is -0.8286 eV/atom. The calculation puts the calculated total energy at -6.555 eV/atom.

The space group is R-3m (No. 166, hexagonal axes) and the conventional cell measures 4.8378, 4.8378 and 23.7246 Å, with angles of 90.00, 90.00 and 120.00 degrees. Symmetry generates all atoms from Tm at (0.0000, 0.0000, 0.1218), Tm at (0.0000, 0.0000, 0.3725), Ag at (0.0000, 0.0000, 0.5000), Ir at (0.0000, 0.0000, 0.2492) and Rh at (0.0000, 0.0000, 0.0000).